CuW2Au: optimized geometry, PBE-GGA.

The total magnetic moment comes out at 0.00 μB/f.u. Its energy is -31.05 eV per cell. As for the crystal system: tetragonal.

abc: 3.3097 3.3097 5.7456
angles: 90.00 90.00 90.00
Last column: nearest neighbours and their distance in Å.
Space group P4/mmm (No. 123)
Asymmetric unit:
Cu1 0.0000 0.0000 0.0000  8 W 2.64, 2 Au 2.87
W1 0.5000 0.5000 0.2135  1 W 2.45, 4 Cu 2.64
Au1 0.0000 0.0000 0.5000  8 W 2.86, 2 Cu 2.87

***

Pr6Sm7: optimized geometry, PBE-GGA.

The total magnetic moment comes out at 3.82 μB/f.u. Its energy is -176.06 eV per cell. As for the crystal system: trigonal.

abc: 6.7432 6.7432 35.1714
angles: 90.00 90.00 120.00
Last column: nearest neighbours and their distance in Å.
Space group R-3m (No. 166, hexagonal axes)
Asymmetric unit:
Pr1 0.0000 0.0000 0.0471  2 Pr 3.31-3.64, 6 Sm 3.63
Pr2 0.0000 0.0000 0.1507  4 Pr 3.64-4.05, 12 Sm 3.91-4.07
Pr3 0.0000 0.0000 0.3347  6 Sm 3.57-3.61, 3 Pr 3.89
Sm1 0.0000 0.0000 0.5000  6 Sm 3.47
Sm2 0.0062 0.5031 0.9143  5 Sm 3.31-3.47, 4 Pr 3.57-3.63

***

LaCeRu: optimized geometry, PBE-GGA.

The total magnetic moment comes out at 0.00 μB/f.u. Its energy is -83.47 eV per cell. As for the crystal system: monoclinic.

abc: 6.5395 7.2720 7.5409
angles: 90.00 116.04 90.00
Last column: nearest neighbours and their distance in Å.
Space group P2_1/c (No. 14)
Asymmetric unit:
La1 0.2414 0.1614 0.4355  3 Ru 3.03-3.32, 1 Ce 3.34
Ce1 0.2470 0.6727 0.5892  2 Ru 2.51-2.53
Ru1 0.3035 0.5463 0.3038  2 Ce 2.51-2.53

***

ThTl2Te2I2: optimized geometry, PBE-GGA.

As for the uncorrected formation energy: -5.80 eV/f.u. The total magnetic moment comes out at 0.00 μB/f.u. As for the crystal system: tetragonal.

abc: 6.1527 6.1527 17.2502
angles: 90.00 90.00 90.00
Last column: nearest neighbours and their distance in Å.
Space group I4/mmm (No. 139)
Asymmetric unit:
Th1 0.0000 0.0000 0.0000  4 Te 3.08, 2 I 3.09
Tl1 0.0000 0.0000 0.3863  1 I 3.58, 4 Te 3.65, 1 Tl 3.92
Te1 0.0000 0.5000 0.0000  2 Th 3.08
I1 0.0000 0.0000 0.1789  1 Th 3.09

***

Which formula does entry 3 have?
LaCeRu

***

total magnetic moment of number 4 (ThTl2Te2I2)?
0.00 μB/f.u.